## MgRe2Ru (GGA-PBE)

Data for MgRe2Ru after structural relaxation.

Cell lengths 5.146, 5.146, 5.146 Å; angles 145.25, 127.62, 64.40 degrees
Element x y z (fractional)
Mg  0.000  0.000  0.000
Re  0.267  0.767  0.500
Re  0.496  0.496  0.000
Ru  0.743  0.243  0.500

Properties
SG: Imm2, No. 44
energy of formation from the pure elements: 0.253 eV per atom

---

## LiHgP2Se (GGA-PBE)

Data for LiHgP2Se after structural relaxation.

Cell lengths 4.940, 4.940, 4.580 Å; angles 90.00, 90.00, 90.00 degrees
Element x y z (fractional)
Li  0.000  0.000  0.000
Hg  0.500  0.500  0.000
P  0.000  0.500  0.500
P  0.500  0.000  0.500
Se  0.000  0.000  0.500

Properties
SG: P4/mmm, No. 123
formation energy without anion corrections: 0.434 eV/atom

---

## PrHo2Pu (GGA-PBE)

Data for PrHo2Pu after structural relaxation.

Cell lengths 5.003, 5.003, 5.007 Å; angles 90.00, 90.00, 90.00 degrees
Element x y z (fractional)
Pr  0.000  0.000  0.000
Ho  0.000  0.500  0.500
Ho  0.500  0.000  0.500
Pu  0.500  0.500  0.000

Properties
SG: P4/mmm, No. 123
offset from the most stable computed form: 0.0453 eV/atom
energy of formation from the pure elements: 0.148 eV per atom

---

## BaBe2Ru (GGA-PBE)

Data for BaBe2Ru after structural relaxation.

Cell lengths 3.099, 3.098, 7.086 Å; angles 90.00, 90.10, 90.00 degrees
Element x y z (fractional)
Ba  0.000  0.000  0.000
Be  0.500  0.500  0.357
Be  0.500  0.500  0.643
Ru  0.000  0.000  0.500

Properties
SG: P2/m, No. 10
offset from the most stable computed form: 0.1618 eV/atom
energy of formation from the pure elements: 0.200 eV per atom

---

## VFe4Pt2 (GGA-PBE)

Data for VFe4Pt2 after structural relaxation.

Cell lengths 6.607, 6.607, 4.717 Å; angles 100.51, 100.51, 67.31 degrees
Element x y z (fractional)
V  0.175  0.175  0.325
V  0.825  0.825  0.675
Fe  0.170  0.830  0.500
Fe  0.171  0.829  0.000
Fe  0.181  0.474  0.677
Fe  0.526  0.819  0.323
Fe  0.587  0.202  0.627
Fe  0.791  0.049  0.203
Fe  0.798  0.413  0.373
Fe  0.951  0.209  0.797
Pt  0.391  0.046  0.864
Pt  0.404  0.434  0.204
Pt  0.566  0.596  0.796
Pt  0.954  0.609  0.136

Properties
SG: C2, No. 5
energy of formation from the pure elements: -0.143 eV per atom

---

## Dy5MgIn6 (GGA-PBE)

Data for Dy5MgIn6 after structural relaxation.

Cell lengths 9.156, 9.156, 9.156 Å; angles 146.55, 131.92, 59.83 degrees
Element x y z (fractional)
Dy  0.000  0.000  0.000
Dy  0.167  0.667  0.500
Dy  0.335  0.335  0.000
Dy  0.665  0.665  0.000
Dy  0.833  0.333  0.500
Mg  0.500  0.000  0.500
In  0.093  0.837  0.256
In  0.258  0.500  0.758
In  0.419  0.163  0.256
In  0.581  0.837  0.744
In  0.742  0.500  0.242
In  0.907  0.163  0.744

Properties
SG: Immm, No. 71
energy of formation from the pure elements: -0.411 eV per atom

---

no.,spin magnetization (μB per formula unit)
1,0.00
2,0.00
3,6.21
4,0.00
5,8.67
6,0.00